## NiAsPtAu (PBE)

Data for a relaxed NiAsPtAu crystal.

Lattice parameters (Å, degrees): 4.456 4.456 4.456 60.00 60.00 60.00
Sites, in units of the cell vectors:
Ni1 0.750 0.750 0.750
As1 0.000 0.000 0.000
Pt1 0.250 0.250 0.250
Au1 0.500 0.500 0.500

Summary:
- magnetic moment (μB/atom) = 0.004
- theoretical density (g cm⁻³) = 13.957
- final energy (Ry per atom) = -0.3541

---

## Sr2NiAs2Au (PBE)

Data for a relaxed Sr2NiAs2Au crystal.

Lattice parameters (Å, degrees): 4.329 4.329 8.818 90.00 90.00 120.00
Last column: magnetic moment on the atom in μB.
Sites, in units of the cell vectors:
Sr1 0.333 0.667 0.262  0.00
Sr2 0.333 0.667 0.738  0.00
Au1 0.000 0.000 0.000  0.00
As1 0.000 0.000 0.500  0.01
As2 0.667 0.333 0.000  0.00
Ni1 0.667 0.333 0.500  0.09

Summary:
- magnetic moment (μB/atom) = 0.020
- theoretical density (g cm⁻³) = 6.738
- final energy (Ry per atom) = -0.3239

---

## TcNiAsAu (PBE)

Data for a relaxed TcNiAsAu crystal.

Lattice parameters (Å, degrees): 4.378 4.378 4.378 60.00 60.00 60.00
Sites, in units of the cell vectors:
Au1 0.500 0.500 0.500
As1 0.000 0.000 0.000
Tc1 0.250 0.250 0.250
Ni1 0.750 0.750 0.750

Summary:
- magnetic moment (μB/atom) = 0.002
- theoretical density (g cm⁻³) = 11.993
- final energy (Ry per atom) = -0.4226

---

## ZnNiAsAu (PBE)

Data for a relaxed ZnNiAsAu crystal.

Lattice parameters (Å, degrees): 4.441 4.441 4.441 60.00 60.00 60.00
Sites, in units of the cell vectors:
Zn1 0.000 0.000 0.000
As1 0.250 0.250 0.250
Au1 0.750 0.750 0.750
Ni1 0.500 0.500 0.500

Summary:
- magnetic moment (μB/atom) = 0.004
- theoretical density (g cm⁻³) = 10.618
- final energy (Ry per atom) = -0.2636

---

## As2AuO (PBE)

Data for a relaxed As2AuO crystal.

Lattice parameters (Å, degrees): 3.818 3.818 9.291 90.00 90.00 90.00
Sites, in units of the cell vectors:
Au1 0.000 0.000 0.500
Au2 0.500 0.500 0.500
As1 0.000 0.500 0.112
As2 0.500 0.000 0.888
As3 0.000 0.500 0.711
As4 0.500 0.000 0.289
O1 0.000 0.000 0.000
O2 0.500 0.500 0.000

Summary:
- theoretical density (g cm⁻³) = 8.895
- final energy (Ry per atom) = -0.3235

---

## AsAuO4 (PBE)

Data for a relaxed AsAuO4 crystal.

Lattice parameters (Å, degrees): 4.455 4.745 4.750 77.35 62.05 62.04
Sites, in units of the cell vectors:
O1 0.689 0.694 0.331
O2 0.484 0.316 0.061
O3 0.067 0.587 0.683
O4 0.214 0.964 0.953
Au1 0.363 0.140 0.507
As1 0.113 0.640 0.007

Summary:
- theoretical density (g cm⁻³) = 7.119
- final energy (Ry per atom) = -0.3841

---

## AsAuO4 (PBE)

Data for a relaxed AsAuO4 crystal.

Lattice parameters (Å, degrees): 6.974 6.974 6.974 139.32 139.32 58.89
Sites, in units of the cell vectors:
Au1 0.500 0.500 0.000
Au2 0.250 0.750 0.500
As1 0.750 0.250 0.500
As2 0.000 0.000 0.000
O1 0.682 0.118 0.944
O2 0.175 0.738 0.056
O3 0.882 0.825 0.564
O4 0.488 0.932 0.064
O5 0.262 0.318 0.436
O6 0.868 0.425 0.936
O7 0.575 0.512 0.444
O8 0.068 0.132 0.556

Summary:
- theoretical density (g cm⁻³) = 7.812
- final energy (Ry per atom) = -0.3656

---

## As2AuO (PBE)

Data for a relaxed As2AuO crystal.

Lattice parameters (Å, degrees): 4.456 4.456 7.966 90.00 90.00 90.00
Sites, in units of the cell vectors:
As1 0.500 0.000 0.331
As2 0.000 0.000 0.500
As3 0.000 0.500 0.669
As4 0.500 0.500 0.500
Au1 0.500 0.000 0.960
Au2 0.000 0.500 0.040
O1 0.000 0.000 0.000
O2 0.500 0.500 0.000

Summary:
- theoretical density (g cm⁻³) = 7.619
- final energy (Ry per atom) = -0.2995

---

## As2AuO (PBE)

Data for a relaxed As2AuO crystal.

Lattice parameters (Å, degrees): 3.638 5.856 6.950 90.00 90.00 90.00
Sites, in units of the cell vectors:
As1 0.000 0.651 0.885
As2 0.000 0.349 0.385
As3 0.500 0.882 0.049
As4 0.500 0.118 0.549
O1 0.500 0.754 0.277
O2 0.500 0.246 0.777
Au1 0.000 0.752 0.543
Au2 0.000 0.248 0.043

Summary:
- theoretical density (g cm⁻³) = 8.138
- final energy (Ry per atom) = -0.3330

---

## AsOsAuO (PBE)

Data for a relaxed AsOsAuO crystal.

Lattice parameters (Å, degrees): 3.763 6.675 5.400 90.00 90.00 90.00
Sites, in units of the cell vectors:
Au1 0.500 0.007 0.436
Au2 0.500 0.993 0.936
As1 0.000 0.255 0.401
As2 0.000 0.745 0.901
Os1 0.000 0.378 0.965
Os2 0.000 0.622 0.465
O1 0.500 0.382 0.952
O2 0.500 0.618 0.452

Summary:
- magnetic moment (μB/atom) = 0.001
- theoretical density (g cm⁻³) = 11.706
- final energy (Ry per atom) = -0.4454

---

## AsOsAuO (PBE)

Data for a relaxed AsOsAuO crystal.

Lattice parameters (Å, degrees): 3.613 3.613 9.401 90.00 90.00 90.00
Sites, in units of the cell vectors:
O1 0.000 0.000 0.000
O2 0.500 0.500 0.000
Au1 0.500 0.500 0.500
Au2 0.000 0.000 0.500
As1 0.500 0.000 0.253
As2 0.000 0.500 0.747
Os1 0.500 0.000 0.871
Os2 0.000 0.500 0.129

Summary:
- magnetic moment (μB/atom) = 0.002
- theoretical density (g cm⁻³) = 12.937
- final energy (Ry per atom) = -0.4095

---

## AsOsAuO (PBE)

Data for a relaxed AsOsAuO crystal.

Lattice parameters (Å, degrees): 4.077 4.077 7.608 90.00 90.00 90.00
Last column: magnetic moment on the atom in μB.
Sites, in units of the cell vectors:
Au1 0.500 0.000 0.116  0.03
Au2 0.000 0.500 0.884  0.03
O1 0.000 0.000 0.000  0.04
O2 0.500 0.500 0.000  0.04
Os1 0.500 0.500 0.500  0.14
Os2 0.000 0.000 0.500  0.14
As1 0.500 0.000 0.684  0.01
As2 0.000 0.500 0.316  0.01

Summary:
- magnetic moment (μB/atom) = 0.059
- theoretical density (g cm⁻³) = 12.557
- final energy (Ry per atom) = -0.4105

---

Q: Which of these has the highest theoretical density?
A: NiAsPtAu